Run a
Below is an optimized crystal structure of Be2Pt2O5, with properties calculated at the PBE level.

Cell lengths 3.4101, 3.4101, 6.9611 Å; angles 90.00, 90.00, 90.00 degrees
Atoms (fractional coordinates):
Be 0.0000 0.0000 0.2360
Be 0.0000 0.0000 0.7640
Pt 0.5000 0.5000 0.0000
Pt 0.5000 0.5000 0.5000
O 0.0000 0.0000 0.0000
O 0.0000 0.5000 0.3182
O 0.0000 0.5000 0.6818
O 0.5000 0.0000 0.3182
O 0.5000 0.0000 0.6818

***

Run b
Below is an optimized crystal structure of Be2Pt2O5, with properties calculated at the PBE level.

Cell lengths 3.8612, 3.8612, 6.5843 Å; angles 90.00, 90.00, 90.00 degrees
Atoms (fractional coordinates):
Be 0.0000 0.0000 0.0000
Be 0.0000 0.0000 0.5000
Pt 0.5000 0.5000 0.1883
Pt 0.5000 0.5000 0.8117
O 0.0000 0.5000 0.2454
O 0.0000 0.5000 0.7546
O 0.5000 0.0000 0.2454
O 0.5000 0.0000 0.7546
O 0.5000 0.5000 0.5000

***

The most stable arrangement is run a, and the next structure is 0.913 eV/atom less stable.

***

Run a
Below is an optimized crystal structure of Ta2Be2O5, with properties calculated at the PBE level.

Cell lengths 3.5086, 3.5086, 6.3206 Å; angles 90.00, 90.00, 90.00 degrees
Atoms (fractional coordinates):
Ta 0.0000 0.0000 0.0000
Ta 0.0000 0.0000 0.5000
Be 0.5000 0.5000 0.2484
Be 0.5000 0.5000 0.7516
O 0.0000 0.5000 0.2946
O 0.0000 0.5000 0.7054
O 0.5000 0.0000 0.2946
O 0.5000 0.0000 0.7054
O 0.5000 0.5000 0.0000

***

Run b
Below is an optimized crystal structure of Ta2Be2O5, with properties calculated at the PBE level.

Cell lengths 3.3780, 3.3780, 8.4423 Å; angles 90.00, 90.00, 90.00 degrees
Atoms (fractional coordinates):
Ta 0.0000 0.0000 0.2347
Ta 0.0000 0.0000 0.7653
Be 0.5000 0.5000 0.0000
Be 0.5000 0.5000 0.5000
O 0.0000 0.0000 0.0000
O 0.0000 0.5000 0.3592
O 0.0000 0.5000 0.6408
O 0.5000 0.0000 0.3592
O 0.5000 0.0000 0.6408

***

The most stable arrangement is run b, and the next structure is 0.006 eV/atom less stable.

***

Run a
Below is an optimized crystal structure of BeZnTeO, with properties calculated at the PBE level.

Cell lengths 6.1634, 7.0358, 5.7344 Å; angles 90.00, 90.00, 90.00 degrees
Atoms (fractional coordinates):
Be 0.1534 0.1999 0.0000
Be 0.3466 0.1999 0.5000
Be 0.6534 0.8001 0.0000
Be 0.8466 0.8001 0.5000
Zn 0.1640 0.5741 0.7724
Zn 0.3360 0.5741 0.2724
Zn 0.6640 0.4259 0.7724
Zn 0.8360 0.4259 0.2724
Te 0.0359 0.8568 0.1036
Te 0.4641 0.8568 0.6036
Te 0.5359 0.1432 0.1036
Te 0.9641 0.1432 0.6036
O 0.1079 0.4076 0.0741
O 0.3921 0.4076 0.5741
O 0.6079 0.5924 0.0741
O 0.8921 0.5924 0.5741

***

Run b
Below is an optimized crystal structure of BeZnTeO, with properties calculated at the PBE level.

Cell lengths 9.3582, 9.3582, 13.7987 Å; angles 90.00, 90.00, 90.00 degrees
Atoms (fractional coordinates):
Be 0.2500 0.2500 0.0516
Be 0.7500 0.7500 0.9484
Zn 0.2500 0.2500 0.2229
Zn 0.7500 0.7500 0.7771
Te 0.2500 0.7500 0.5000
Te 0.7500 0.2500 0.5000
O 0.2500 0.2500 0.9529
O 0.7500 0.7500 0.0471

***

The most stable arrangement is run a, and the next structure is 1.943 eV/atom less stable.

***

Run a
Below is an optimized crystal structure of BeZnTeO, with properties calculated at the PBE level.

Cell lengths 4.0617, 4.0617, 7.2798 Å; angles 90.00, 90.00, 90.00 degrees
Atoms (fractional coordinates):
Be 0.2500 0.2500 0.1867
Be 0.7500 0.7500 0.8133
Zn 0.2500 0.7500 0.5000
Zn 0.7500 0.2500 0.5000
Te 0.2500 0.2500 0.8477
Te 0.7500 0.7500 0.1523
O 0.2500 0.2500 0.4065
O 0.7500 0.7500 0.5935

***

Run b
Below is an optimized crystal structure of BeZnTeO, with properties calculated at the PBE level.

Cell lengths 6.8206, 7.6494, 10.9881 Å; angles 90.00, 90.00, 90.00 degrees
Atoms (fractional coordinates):
Be 0.0761 0.1854 0.0884
Be 0.0761 0.3146 0.5884
Be 0.4239 0.6854 0.0884
Be 0.4239 0.8146 0.5884
Be 0.5761 0.1854 0.4116
Be 0.5761 0.3146 0.9116
Be 0.9239 0.6854 0.4116
Be 0.9239 0.8146 0.9116
Zn 0.1967 0.6436 0.7921
Zn 0.1967 0.8564 0.2921
Zn 0.3033 0.1436 0.7921
Zn 0.3033 0.3564 0.2921
Zn 0.6967 0.6436 0.7079
Zn 0.6967 0.8564 0.2079
Zn 0.8033 0.1436 0.7079
Zn 0.8033 0.3564 0.2079
Te 0.2470 0.5714 0.4789
Te 0.2470 0.9286 0.9789
Te 0.2530 0.0714 0.4789
Te 0.2530 0.4286 0.9789
Te 0.7470 0.5714 0.0211
Te 0.7470 0.9286 0.5211
Te 0.7530 0.0714 0.0211
Te 0.7530 0.4286 0.5211
O 0.0707 0.2431 0.7182
O 0.0707 0.2569 0.2182
O 0.4293 0.7431 0.7182
O 0.4293 0.7569 0.2182
O 0.5707 0.2431 0.7818
O 0.5707 0.2569 0.2818
O 0.9293 0.7431 0.7818
O 0.9293 0.7569 0.2818

***

The most stable arrangement is run b, and the next structure is 0.165 eV/atom less stable.

***

Run a
Below is an optimized crystal structure of BeZnTeO, with properties calculated at the PBE level.

Cell lengths 5.1539, 5.1539, 5.6585 Å; angles 90.00, 90.00, 90.00 degrees
Atoms (fractional coordinates):
Be 0.2500 0.2500 0.1985
Be 0.7500 0.7500 0.8015
Zn 0.2500 0.2500 0.7634
Zn 0.7500 0.7500 0.2366
Te 0.2500 0.7500 0.0000
Te 0.7500 0.2500 0.0000
O 0.2500 0.2500 0.4453
O 0.7500 0.7500 0.5547

***

Run b
Below is an optimized crystal structure of BeZnTeO, with properties calculated at the PBE level.

Cell lengths 5.0735, 8.3716, 13.8658 Å; angles 90.00, 90.00, 90.00 degrees
Atoms (fractional coordinates):
Be 0.0686 0.1937 0.2103
Be 0.0686 0.3063 0.7103
Be 0.4314 0.6937 0.2103
Be 0.4314 0.8063 0.7103
Be 0.5686 0.1937 0.2897
Be 0.5686 0.3063 0.7897
Be 0.9314 0.6937 0.2897
Be 0.9314 0.8063 0.7897
Zn 0.1103 0.1634 0.4184
Zn 0.1103 0.3366 0.9184
Zn 0.3897 0.6634 0.4184
Zn 0.3897 0.8366 0.9184
Zn 0.6103 0.1634 0.0816
Zn 0.6103 0.3366 0.5816
Zn 0.8897 0.6634 0.0816
Zn 0.8897 0.8366 0.5816
Te 0.2484 0.6034 0.5933
Te 0.2484 0.8966 0.0933
Te 0.2516 0.1034 0.5933
Te 0.2516 0.3966 0.0933
Te 0.7484 0.6034 0.9067
Te 0.7484 0.8966 0.4067
Te 0.7516 0.1034 0.9067
Te 0.7516 0.3966 0.4067
O 0.2286 0.6670 0.2901
O 0.2286 0.8330 0.7901
O 0.2714 0.1670 0.2901
O 0.2714 0.3330 0.7901
O 0.7286 0.6670 0.2099
O 0.7286 0.8330 0.7099
O 0.7714 0.1670 0.2099
O 0.7714 0.3330 0.7099

***

Run c
Below is an optimized crystal structure of BeZnTeO, with properties calculated at the PBE level.

Cell lengths 7.3383, 7.3485, 5.5457 Å; angles 90.00, 90.00, 90.00 degrees
Atoms (fractional coordinates):
Be 0.1953 0.1752 0.0000
Be 0.3047 0.1752 0.5000
Be 0.6953 0.8248 0.0000
Be 0.8047 0.8248 0.5000
Zn 0.0328 0.6558 0.1625
Zn 0.4672 0.6558 0.6625
Zn 0.5328 0.3442 0.1625
Zn 0.9672 0.3442 0.6625
Te 0.0922 0.6883 0.6893
Te 0.4078 0.6883 0.1893
Te 0.5922 0.3117 0.6893
Te 0.9078 0.3117 0.1893
O 0.1858 0.1687 0.7251
O 0.3142 0.1687 0.2251
O 0.6858 0.8313 0.7251
O 0.8142 0.8313 0.2251

***

The most stable arrangement is run b, and the next structure is 0.098 eV/atom less stable.

***

Run a
Below is an optimized crystal structure of BeZnTeO, with properties calculated at the PBE level.

Cell lengths 3.4130, 3.4130, 11.8745 Å; angles 90.00, 90.00, 90.00 degrees
Atoms (fractional coordinates):
Be 0.2500 0.7500 0.0000
Be 0.7500 0.2500 0.0000
Zn 0.2500 0.2500 0.4230
Zn 0.7500 0.7500 0.5770
Te 0.2500 0.2500 0.8582
Te 0.7500 0.7500 0.1418
O 0.2500 0.2500 0.5899
O 0.7500 0.7500 0.4101

***

Run b
Below is an optimized crystal structure of BeZnTeO, with properties calculated at the PBE level.

Cell lengths 3.8011, 3.8011, 9.1192 Å; angles 90.00, 90.00, 90.00 degrees
Atoms (fractional coordinates):
Be 0.2500 0.2500 0.1020
Be 0.7500 0.7500 0.8980
Zn 0.2500 0.2500 0.4349
Zn 0.7500 0.7500 0.5651
Te 0.2500 0.2500 0.8372
Te 0.7500 0.7500 0.1628
O 0.2500 0.7500 0.5000
O 0.7500 0.2500 0.5000

***

Run c
Below is an optimized crystal structure of BeZnTeO, with properties calculated at the PBE level.

Cell lengths 4.9963, 7.2531, 8.1254 Å; angles 90.00, 90.00, 90.00 degrees
Atoms (fractional coordinates):
Be 0.0344 0.2149 0.0629
Be 0.4656 0.7851 0.5629
Be 0.5344 0.2851 0.9371
Be 0.9656 0.7149 0.4371
Zn 0.0584 0.5473 0.8770
Zn 0.4416 0.4527 0.3770
Zn 0.5584 0.9527 0.1230
Zn 0.9416 0.0473 0.6230
Te 0.2335 0.1283 0.3329
Te 0.2665 0.8717 0.8329
Te 0.7335 0.3717 0.6671
Te 0.7665 0.6283 0.1671
O 0.2425 0.3278 0.9700
O 0.2575 0.6722 0.4700
O 0.7425 0.1722 0.0300
O 0.7575 0.8278 0.5300

***

The most stable arrangement is run c, and the next structure is 0.814 eV/atom less stable.

***

Run a
Below is an optimized crystal structure of Tm2Be2O5, with properties calculated at the PBE level.

Cell lengths 3.7592, 3.7592, 8.4494 Å; angles 90.00, 90.00, 90.00 degrees
Atoms (fractional coordinates):
Tm 0.0000 0.0000 0.2405
Tm 0.0000 0.0000 0.7595
Be 0.5000 0.5000 0.0000
Be 0.5000 0.5000 0.5000
O 0.0000 0.0000 0.5000
O 0.0000 0.5000 0.1340
O 0.0000 0.5000 0.8660
O 0.5000 0.0000 0.1340
O 0.5000 0.0000 0.8660

***

Run b
Below is an optimized crystal structure of Tm2Be2O5, with properties calculated at the PBE level.

Cell lengths 3.5353, 3.5353, 6.6286 Å; angles 90.00, 90.00, 90.00 degrees
Atoms (fractional coordinates):
Tm 0.0000 0.0000 0.0000
Tm 0.0000 0.0000 0.5000
Be 0.5000 0.5000 0.2368
Be 0.5000 0.5000 0.7632
O 0.0000 0.5000 0.2816
O 0.0000 0.5000 0.7184
O 0.5000 0.0000 0.2816
O 0.5000 0.0000 0.7184
O 0.5000 0.5000 0.0000

***

The most stable arrangement is run b, and the next structure is 1.291 eV/atom less stable.

***

Run a
Below is an optimized crystal structure of Be2Os, with properties calculated at the PBE level.

Cell lengths 7.0050, 7.0050, 7.0050 Å; angles 60.00, 60.00, 60.00 degrees
Atoms (fractional coordinates):
Be 0.0000 0.0000 0.0000
Be 0.0000 0.0000 0.5000
Be 0.0000 0.5000 0.0000
Be 0.5000 0.0000 0.0000
Os 0.1250 0.1250 0.1250
Os 0.8750 0.8750 0.8750

***

Run b
Below is an optimized crystal structure of Be2Os, with properties calculated at the PBE level.

Cell lengths 4.3484, 4.3484, 4.3484 Å; angles 60.00, 60.00, 60.00 degrees
Atoms (fractional coordinates):
Be 0.0000 0.0000 0.0000
Be 0.0000 0.0000 0.5000
Be 0.0000 0.5000 0.0000
Be 0.5000 0.0000 0.0000
Os 0.3750 0.3750 0.3750
Os 0.6250 0.6250 0.6250

***

The most stable arrangement is run b, and the next structure is 2.277 eV/atom less stable.

***

Run a
Below is an optimized crystal structure of PmBeOs, with properties calculated at the PBE level.

Cell lengths 6.0591, 6.0591, 6.0591 Å; angles 90.00, 90.00, 90.00 degrees
Atoms (fractional coordinates):
Pm 0.0000 0.0000 0.0000
Pm 0.0000 0.5000 0.5000
Pm 0.5000 0.0000 0.5000
Pm 0.5000 0.5000 0.0000
Be 0.2500 0.2500 0.7500
Be 0.2500 0.7500 0.2500
Be 0.7500 0.2500 0.2500
Be 0.7500 0.7500 0.7500
Os 0.0000 0.0000 0.5000
Os 0.0000 0.5000 0.0000
Os 0.5000 0.0000 0.0000
Os 0.5000 0.5000 0.5000

***

Run b
Below is an optimized crystal structure of PmBeOs, with properties calculated at the PBE level.

Cell lengths 6.2779, 6.2779, 6.2779 Å; angles 90.00, 90.00, 90.00 degrees
Atoms (fractional coordinates):
Pm 0.0000 0.0000 0.0000
Pm 0.0000 0.5000 0.5000
Pm 0.5000 0.0000 0.5000
Pm 0.5000 0.5000 0.0000
Be 0.0000 0.0000 0.5000
Be 0.0000 0.5000 0.0000
Be 0.5000 0.0000 0.0000
Be 0.5000 0.5000 0.5000
Os 0.2500 0.2500 0.7500
Os 0.2500 0.7500 0.2500
Os 0.7500 0.2500 0.2500
Os 0.7500 0.7500 0.7500

***

The most stable arrangement is run a, and the next structure is 0.267 eV/atom less stable.